1.
# Li2CaTi PBE relaxed
# * final energy: -2.9432 eV per atom
# * calculated formation energy: 47.1 kJ per mole of atoms
# * relative energy among the computed polymorphs: 0.00 eV/f.u.
data_Li2CaTi
_cell_length_a 5.0340
_cell_length_b 5.0340
_cell_length_c 5.0340
_cell_angle_alpha 60.00
_cell_angle_beta 60.00
_cell_angle_gamma 60.00
_symmetry_space_group_name_H-M 'P 1'
_symmetry_Int_Tables_number 1
_symmetry_space_group_name_Hall 'P 1'
loop_
_atom_site_label
_atom_site_type_symbol
_atom_site_fract_x
_atom_site_fract_y
_atom_site_fract_z
Ca1 Ca 0.0000 0.0000 0.0000
Li1 Li 0.2500 0.2500 0.2500
Li2 Li 0.7500 0.7500 0.7500
Ti1 Ti 0.5000 0.5000 0.5000

2.
# LiCa2Ti PBE relaxed
# * final energy: -2.8403 eV per atom
# * calculated formation energy: 59.1 kJ per mole of atoms
# * relative energy among the computed polymorphs: 0.62 eV/f.u.
data_LiCa2Ti
_cell_length_a 8.3747
_cell_length_b 8.3747
_cell_length_c 6.7777
_cell_angle_alpha 51.84
_cell_angle_beta 51.84
_cell_angle_gamma 90.00
_symmetry_space_group_name_H-M 'P 1'
_symmetry_Int_Tables_number 1
_symmetry_space_group_name_Hall 'P 1'
loop_
_atom_site_label
_atom_site_type_symbol
_atom_site_fract_x
_atom_site_fract_y
_atom_site_fract_z
Ca1 Ca 0.6000 0.1250 0.2500
Ca2 Ca 0.1500 0.6250 0.2500
Ca3 Ca 0.3750 0.4000 0.7500
Ca4 Ca 0.8750 0.8500 0.7500
Li1 Li 0.5000 0.5000 0.0000
Li2 Li 0.2500 0.7500 0.5000
Ti1 Ti 0.0000 0.0000 0.0000
Ti2 Ti 0.7500 0.2500 0.5000

3.
# LiCa2Ti PBE relaxed
# * final energy: -2.8887 eV per atom
# * calculated formation energy: 54.4 kJ per mole of atoms
# * relative energy among the computed polymorphs: 0.43 eV/f.u.
data_LiCa2Ti
_cell_length_a 3.3757
_cell_length_b 3.3757
_cell_length_c 11.9542
_cell_angle_alpha 81.88
_cell_angle_beta 81.88
_cell_angle_gamma 60.00
_symmetry_space_group_name_H-M 'P 1'
_symmetry_Int_Tables_number 1
_symmetry_space_group_name_Hall 'P 1'
loop_
_atom_site_label
_atom_site_type_symbol
_atom_site_fract_x
_atom_site_fract_y
_atom_site_fract_z
Ca1 Ca 0.0849 0.0849 0.7452
Ca2 Ca 0.9151 0.9151 0.2548
Li1 Li 0.5000 0.5000 0.5000
Ti1 Ti 0.0000 0.0000 0.0000

Question: Which formula does entry 2 have?
Answer: LiCa2Ti

Question: Look up the relative energy among the computed polymorphs of the third one.
Answer: 0.43 eV/f.u.

Question: The lowest final energy belongs to which entry?
Answer: Li2CaTi